{"formula": "Ac2CeNd", "functional": "GGA-PBE", "state": "optimized geometry", "formation_enthalpy_0k_kj_per_mol_atoms": 11, "rho_kg_m3": 7910, "de_polymorph_mev_per_atom": 12, "lattice": [[-2.270, 1.499, -2.684], [-3.713, -0.902, -0.084], [-4.460, 9.669, 6.451]], "species": ["Ac", "Ac", "Ce", "Nd"], "frac_coords": [[0.085, 0.085, 0.746], [0.248, 0.248, 0.255], [0.500, 0.500, 0.501], [0.668, 0.668, 0.997]]}